# 1
SrSn2PbAu5: relaxed, GGA-PBE.

Formation energy (eV per atom): -0.206

Cell lengths 5.1004, 5.1004, 8.6328 Å; angles 90.00, 90.00, 90.00 degrees
Closest atoms and distances in Å follow each position.
Fractional positions:
Sr1 0.0000 0.0000 0.0000  8 Au 3.19
Sn1 0.5000 0.5000 0.3329  5 Au 2.73-2.87, 1 Sn 2.88
Sn2 0.5000 0.5000 0.6671  5 Au 2.73-2.87, 1 Sn 2.88
Pb1 0.0000 0.0000 0.5000  8 Au 3.50, 8 Sn 3.88
Au1 0.0000 0.5000 0.2217  2 Sn 2.73
Au2 0.0000 0.5000 0.7783  2 Sn 2.73
Au3 0.5000 0.0000 0.2217  2 Sn 2.73
Au4 0.5000 0.0000 0.7783  2 Sn 2.73
Au5 0.5000 0.5000 0.0000  2 Sn 2.87, 8 Au 3.19

---

# 2
HoThCuOs: relaxed, GGA-PBE.

Formation energy (eV per atom): -0.230

Cell lengths 4.9574, 4.9574, 4.9574 Å; angles 60.00, 60.00, 60.00 degrees
Closest atoms and distances in Å follow each position.
Fractional positions:
Ho1 0.0000 0.0000 0.0000  4 Cu 3.04, 4 Os 3.04
Th1 0.5000 0.5000 0.5000  4 Cu 3.04, 4 Os 3.04
Cu1 0.7500 0.7500 0.7500  4 Th 3.04, 4 Ho 3.04
Os1 0.2500 0.2500 0.2500  4 Th 3.04, 4 Ho 3.04

---

# 3
ScMn2Be: relaxed, GGA-PBE.

Formation energy (eV per atom): 0.161

Cell lengths 4.4311, 4.4311, 4.5485 Å; angles 103.92, 103.92, 37.26 degrees
Closest atoms and distances in Å follow each position.
Fractional positions:
Sc1 0.0000 0.0000 0.0000  6 Mn 2.65-2.73, 4 Be 2.68, 2 Sc 2.83
Mn1 0.2302 0.2302 0.6945  2 Mn 2.35, 3 Be 2.38-2.63
Mn2 0.7698 0.7698 0.3055  2 Mn 2.35, 3 Be 2.38-2.63
Be1 0.5000 0.5000 0.5000  6 Mn 2.38-2.63

---

# 4
LaZnIr2Se: relaxed, GGA-PBE.

Formation energy (no corrections) (eV per atom): 1.369

Cell lengths 4.9934, 4.9934, 5.7871 Å; angles 90.00, 90.00, 90.00 degrees
Closest atoms and distances in Å follow each position.
Fractional positions:
La1 0.0000 0.0000 0.0000  4 Ir 2.50
Zn1 0.5000 0.5000 0.5000  4 Se 3.53, 8 Ir 3.82
Ir1 0.0000 0.5000 0.0000  2 La 2.50
Ir2 0.5000 0.0000 0.0000  2 La 2.50
Se1 0.0000 0.0000 0.5000  2 La 2.89

---

# 5
Zn2AuCCl: relaxed, GGA-PBE.

Formation energy (no corrections) (eV per atom): 1.469

Cell lengths 5.0441, 5.0441, 5.0358 Å; angles 90.00, 90.00, 90.00 degrees
Closest atoms and distances in Å follow each position.
Fractional positions:
Zn1 0.0000 0.5000 0.0000  2 Au 2.52
Zn2 0.5000 0.0000 0.0000  2 Au 2.52
Au1 0.0000 0.0000 0.0000  2 Cl 2.52, 4 Zn 2.52
C1 0.5000 0.5000 0.5000  8 Zn 3.56, 4 Cl 3.57
Cl1 0.0000 0.0000 0.5000  2 Au 2.52

---

# 6
MgRuN: relaxed, GGA-PBE.

Formation energy (no corrections) (eV per atom): 0.356
Energy relative to the lowest polymorph listed for this composition (eV per formula unit): 0.30

Cell lengths 3.8567, 3.8567, 5.3051 Å; angles 90.00, 90.00, 90.00 degrees
Closest atoms and distances in Å follow each position.
Fractional positions:
Mg1 0.2500 0.2500 0.0843  1 N 2.18
Mg2 0.7500 0.7500 0.9157  1 N 2.18
Ru1 0.2500 0.7500 0.5000  4 N 2.14
Ru2 0.7500 0.2500 0.5000  4 N 2.14
N1 0.2500 0.2500 0.6739  4 Ru 2.14, 1 Mg 2.18
N2 0.7500 0.7500 0.3261  4 Ru 2.14, 1 Mg 2.18

---

# 7
LiPrTl2: relaxed, GGA-PBE.

Formation energy (eV per atom): -0.306
Energy relative to the lowest polymorph listed for this composition (eV per formula unit): 0.12

Cell lengths 5.2131, 5.2131, 4.0271 Å; angles 90.00, 90.00, 90.00 degrees
Closest atoms and distances in Å follow each position.
Fractional positions:
Li1 0.0000 0.0000 0.0000  8 Tl 3.29, 4 Pr 3.69
Pr1 0.5000 0.5000 0.0000  8 Tl 3.29, 4 Li 3.69
Tl1 0.0000 0.5000 0.5000  4 Pr 3.29, 4 Li 3.29, 4 Tl 3.69
Tl2 0.5000 0.0000 0.5000  4 Pr 3.29, 4 Li 3.29, 4 Tl 3.69

---

no.,final energy (hartree per atom)
1,-0.12918
2,-0.25947
3,-0.25497
4,-0.15114
5,-0.07019
6,-0.22206
7,-0.11622